Entry 1:
DFT (PBE) results for LiNbTlCr2 after structural relaxation.

* energy relative to the elements: 1.292 eV per atom
* crystal system: tetragonal
* raw total energy: -5.427 eV/atom
* D(E_F): 9.4 states/eV/f.u.
* SG: P4/mmm (123)

Lattice parameters (Å, degrees): 4.202 4.389 4.202 90.00 90.00 90.00
Element x y z (fractional)
Cr 0.000 0.000 0.500
Cr 0.500 0.000 0.000
Tl 0.500 0.500 0.500
Nb 0.000 0.500 0.000
Li 0.000 0.000 0.000

***

Entry 2:
DFT (PBE) results for Ce8Pu2Re after structural relaxation.

* energy relative to the elements: 0.123 eV per atom
* crystal system: triclinic
* raw total energy: -7.930 eV/atom
* D(E_F): 26.3 states/eV/f.u.
* SG: P-1 (2)

Lattice parameters (Å, degrees): 8.232 8.451 6.230 129.57 86.11 118.57
Each line ends with the local moment (μB).
Element x y z (fractional)
Re 0.000 0.000 0.000  -0.17
Ce 0.216 0.461 0.179  0.24
Ce 0.784 0.539 0.821  0.24
Ce 0.598 0.849 0.196  0.20
Ce 0.349 0.258 0.435  0.13
Ce 0.263 0.771 0.912  0.33
Ce 0.402 0.151 0.804  0.20
Ce 0.651 0.742 0.565  0.13
Ce 0.737 0.229 0.088  0.33
Pu 0.030 0.266 0.629  5.16
Pu 0.970 0.734 0.371  5.16

***

Entry 3:
DFT (PBE) results for MgTiI3 after structural relaxation.

* crystal system: cubic
* energy above the most stable polymorph in this dataset: 0 meV per atom
* raw total energy: -3.099 eV/atom
* energy relative to the elements, uncorrected: -271 meV/atom
* D(E_F): 5.4 states/eV/f.u.
* SG: Pm-3m (221)

Lattice parameters (Å, degrees): 5.642 5.642 5.642 90.00 90.00 90.00
Each line ends with the local moment (μB).
Element x y z (fractional)
I 0.000 0.500 0.000  -0.03
I 0.000 0.000 0.500  -0.02
I 0.500 0.000 0.000  -0.05
Mg 0.500 0.500 0.500  -0.06
Ti 0.000 0.000 0.000  1.35

***

Entry 4:
DFT (PBE) results for Ca3SiAg after structural relaxation.

* crystal system: cubic
* energy above the most stable polymorph in this dataset: 307 meV per atom
* raw total energy: -2.630 eV/atom
* energy relative to the elements, uncorrected: 226 meV/atom
* D(E_F): 3.7 states/eV/f.u.
* SG: Pm-3m (221)

Lattice parameters (Å, degrees): 5.538 5.538 5.538 90.00 90.00 90.00
Element x y z (fractional)
Ca 0.000 0.500 0.000
Ca 0.000 0.000 0.500
Ca 0.500 0.000 0.000
Si 0.500 0.500 0.500
Ag 0.000 0.000 0.000

***

Entry 5:
DFT (PBE) results for CeGaPb2 after structural relaxation.

* energy relative to the elements: 0.173 eV per atom
* crystal system: trigonal
* energy above the most stable polymorph in this dataset: 538 meV per atom
* raw total energy: -3.922 eV/atom
* D(E_F): 6.6 states/eV/f.u.
* SG: R-3m (166)

Lattice parameters (Å, degrees): 3.497 3.497 11.335 81.13 81.13 60.00
Each line ends with the local moment (μB).
Element x y z (fractional)
Pb 0.097 0.097 0.708  0.00
Pb 0.903 0.903 0.292  0.00
Ga 0.500 0.500 0.500  0.01
Ce 0.000 0.000 0.000  1.02

***

Entry 6:
DFT (PBE) results for Pm2Nd3Pb4 after structural relaxation.

* energy relative to the elements: -0.488 eV per atom
* crystal system: monoclinic
* energy above the most stable polymorph in this dataset: 0 meV per atom
* raw total energy: -4.781 eV/atom
* D(E_F): 6.4 states/eV/f.u.
* SG: C2/m (12)

Lattice parameters (Å, degrees): 5.066 6.915 8.921 103.53 106.49 90.00
Element x y z (fractional)
Pm 0.666 0.082 0.332
Pm 0.334 0.918 0.668
Nd 0.113 0.576 0.227
Nd 0.887 0.424 0.773
Nd 0.000 0.000 0.000
Pb 0.495 0.716 0.989
Pb 0.253 0.308 0.505
Pb 0.505 0.284 0.011
Pb 0.747 0.692 0.495

***

Entry 7:
DFT (PBE) results for Pm3Nd7Y after structural relaxation.

* energy relative to the elements: 0.225 eV per atom
* crystal system: monoclinic
* raw total energy: -4.692 eV/atom
* D(E_F): 15.7 states/eV/f.u.
* SG: C2/m (12)

Lattice parameters (Å, degrees): 6.547 7.848 7.848 81.98 86.19 86.19
Element x y z (fractional)
Pm 0.000 0.829 0.171
Pm 0.500 0.000 0.000
Pm 0.000 0.171 0.829
Nd 0.787 0.239 0.239
Nd 0.739 0.919 0.573
Nd 0.261 0.427 0.081
Nd 0.739 0.573 0.919
Nd 0.000 0.500 0.500
Nd 0.261 0.081 0.427
Nd 0.213 0.761 0.761
Y 0.500 0.500 0.500

***

Entry 8:
DFT (PBE) results for SmThHgRh after structural relaxation.

* energy relative to the elements: -0.446 eV per atom
* crystal system: cubic
* energy above the most stable polymorph in this dataset: 121 meV per atom
* raw total energy: -5.394 eV/atom
* D(E_F): 3.8 states/eV/f.u.
* SG: F-43m (216)

Lattice parameters (Å, degrees): 5.199 5.199 5.199 60.00 60.00 60.00
Element x y z (fractional)
Rh 0.000 0.000 0.000
Sm 0.250 0.250 0.250
Hg 0.500 0.500 0.500
Th 0.750 0.750 0.750

***

Entry 9:
DFT (PBE) results for LaY3Rh after structural relaxation.

* energy relative to the elements: 1.159 eV per atom
* crystal system: cubic
* energy above the most stable polymorph in this dataset: 1432 meV per atom
* raw total energy: -5.175 eV/atom
* D(E_F): 3.9 states/eV/f.u.
* SG: Pm-3m (221)

Lattice parameters (Å, degrees): 5.423 5.423 5.423 90.00 90.00 90.00
Element x y z (fractional)
Y 0.000 0.500 0.000
Y 0.000 0.000 0.500
Y 0.500 0.000 0.000
Rh 0.500 0.500 0.500
La 0.000 0.000 0.000

***

Entry 10:
DFT (PBE) results for KVAg3 after structural relaxation.

* energy relative to the elements: 1.566 eV per atom
* crystal system: cubic
* energy above the most stable polymorph in this dataset: 839 meV per atom
* raw total energy: -2.188 eV/atom
* D(E_F): 4.2 states/eV/f.u.
* SG: Pm-3m (221)

Lattice parameters (Å, degrees): 5.341 5.341 5.341 90.00 90.00 90.00
Each line ends with the local moment (μB).
Element x y z (fractional)
K 0.000 0.000 0.000  -0.01
Ag 0.000 0.500 0.000  -0.01
Ag 0.000 0.000 0.500  -0.01
Ag 0.500 0.000 0.000  -0.01
V 0.500 0.500 0.500  3.05

***

Entry 11:
DFT (PBE) results for NaNd2Sn2Hg2 after structural relaxation.

* energy relative to the elements: -0.250 eV per atom
* crystal system: trigonal
* raw total energy: -3.031 eV/atom
* D(E_F): 5.4 states/eV/f.u.
* SG: R-3m (166)

Lattice parameters (Å, degrees): 5.111 5.111 9.904 75.05 75.05 60.00
Element x y z (fractional)
Na 0.000 0.000 0.000
Nd 0.130 0.130 0.611
Nd 0.870 0.870 0.389
Sn 0.740 0.740 0.779
Sn 0.260 0.260 0.221
Hg 0.576 0.576 0.273
Hg 0.424 0.424 0.727

***

Entry 12:
DFT (PBE) results for Tb4MgZn after structural relaxation.

* energy relative to the elements: -0.123 eV per atom
* crystal system: tetragonal
* energy above the most stable polymorph in this dataset: 0 meV per atom
* raw total energy: -3.688 eV/atom
* D(E_F): 8.5 states/eV/f.u.
* SG: P4/mmm (123)

Lattice parameters (Å, degrees): 3.588 3.588 12.876 90.00 90.00 90.00
Element x y z (fractional)
Tb 0.500 0.500 0.861
Tb 0.500 0.500 0.139
Tb 0.000 0.000 0.669
Tb 0.000 0.000 0.331
Mg 0.500 0.500 0.500
Zn 0.000 0.000 0.000